DFT (PBE-GGA) results for an optimized crystal structure of Sr3MgCl2F6.

Geometry as POSCAR:
```
Sr3MgCl2F6
1.0
-3.200 2.490 3.724
-2.864 -6.333 1.774
5.394 2.745 4.005
Sr Mg Cl F
3 1 2 6
Direct
0.000 0.500 0.000 Sr
0.500 0.500 0.500 Sr
0.500 0.000 0.500 Sr
0.500 0.000 0.000 Mg
0.121 0.710 0.420 Cl
0.879 0.290 0.580 Cl
0.699 0.304 0.124 F
0.301 0.696 0.876 F
0.648 0.851 0.701 F
0.352 0.149 0.299 F
0.301 0.181 0.876 F
0.699 0.819 0.124 F
```

formation energy without anion corrections	-3.288	eV/atom
space group	C2/m